[1]
# Cu2NiPb

A geometry-optimized Cu2NiPb structure (PBE, Alexandria via LeMat-Bulk).

a b c (Å): 3.1653 3.1653 23.3049
angles (deg): 90.00 90.00 120.00
Sites, in units of the cell vectors:
Cu  0.0000  0.0000  0.2362
Cu  0.0000  0.0000  0.7638
Cu  0.3333  0.6667  0.4305
Cu  0.3333  0.6667  0.9029
Cu  0.6667  0.3333  0.0971
Cu  0.6667  0.3333  0.5695
Ni  0.0000  0.0000  0.5000
Ni  0.3333  0.6667  0.1667
Ni  0.6667  0.3333  0.8333
Pb  0.0000  0.0000  0.0000
Pb  0.3333  0.6667  0.6667
Pb  0.6667  0.3333  0.3333

Output
Magnetization   0.0303 μB per atom
D(E_F)   4.0 states/eV/f.u.
Formation enthalpy at 0 K   468.8 meV/atom


[2]
# Cu2NiPb

A geometry-optimized Cu2NiPb structure (PBE, Alexandria via LeMat-Bulk).

a b c (Å): 4.1411 4.1411 12.9018
angles (deg): 90.00 90.00 120.00
Sites, in units of the cell vectors:
Cu  0.0000  0.0000  0.0000
Cu  0.0000  0.0000  0.2822
Cu  0.3333  0.6667  0.6667
Cu  0.3333  0.6667  0.9488
Cu  0.6667  0.3333  0.3333
Cu  0.6667  0.3333  0.6155
Ni  0.0000  0.0000  0.7093
Ni  0.3333  0.6667  0.3759
Ni  0.6667  0.3333  0.0426
Pb  0.0000  0.0000  0.4949
Pb  0.3333  0.6667  0.1616
Pb  0.6667  0.3333  0.8283

Output
Magnetization   0.0000 μB per atom
D(E_F)   1.8 states/eV/f.u.
Formation enthalpy at 0 K   224.6 meV/atom


[3]
# Cu2NiPb

A geometry-optimized Cu2NiPb structure (PBE, Alexandria via LeMat-Bulk).

a b c (Å): 3.8068 3.8068 4.1182
angles (deg): 90.00 90.00 90.00
Sites, in units of the cell vectors:
Cu  0.0000  0.5000  0.0000
Cu  0.5000  0.0000  0.0000
Ni  0.0000  0.0000  0.5000
Pb  0.5000  0.5000  0.5000

Output
Magnetization   0.0000 μB per atom
D(E_F)   1.9 states/eV/f.u.
Formation enthalpy at 0 K   230.5 meV/atom


[4]
# CuNi4Pb

A geometry-optimized CuNi4Pb structure (PBE, Alexandria via LeMat-Bulk).

a b c (Å): 4.8528 4.8528 4.8528
angles (deg): 60.00 60.00 60.00
Sites, in units of the cell vectors:
Cu  0.0000  0.0000  0.0000
Ni  0.1227  0.6258  0.6258
Ni  0.6258  0.1227  0.6258
Ni  0.6258  0.6258  0.1227
Ni  0.6258  0.6258  0.6258
Pb  0.2500  0.2500  0.2500

Output
Magnetization   0.1596 μB per atom
D(E_F)   7.4 states/eV/f.u.
Formation enthalpy at 0 K   186.9 meV/atom


[5]
# Cu2NiPb

A geometry-optimized Cu2NiPb structure (PBE, Alexandria via LeMat-Bulk).

a b c (Å): 3.1077 3.9232 5.3167
angles (deg): 90.00 100.66 90.00
Sites, in units of the cell vectors:
Cu  0.0000  0.0000  0.0000
Cu  0.4665  0.5000  0.8914
Ni  0.1002  0.5000  0.2811
Pb  0.6635  0.0000  0.4957

Output
Magnetization   0.0000 μB per atom
D(E_F)   1.8 states/eV/f.u.
Formation enthalpy at 0 K   258.5 meV/atom


[6]
# Cu2NiPb

A geometry-optimized Cu2NiPb structure (PBE, Alexandria via LeMat-Bulk).

a b c (Å): 6.2024 6.2024 6.2024
angles (deg): 90.00 90.00 90.00
Sites, in units of the cell vectors:
Cu  0.0000  0.0000  0.0000
Cu  0.0000  0.5000  0.5000
Cu  0.2500  0.2500  0.2500
Cu  0.2500  0.7500  0.7500
Cu  0.5000  0.0000  0.5000
Cu  0.5000  0.5000  0.0000
Cu  0.7500  0.2500  0.7500
Cu  0.7500  0.7500  0.2500
Ni  0.2500  0.2500  0.7500
Ni  0.2500  0.7500  0.2500
Ni  0.7500  0.2500  0.2500
Ni  0.7500  0.7500  0.7500
Pb  0.0000  0.0000  0.5000
Pb  0.0000  0.5000  0.0000
Pb  0.5000  0.0000  0.0000
Pb  0.5000  0.5000  0.5000

Output
Magnetization   0.0000 μB per atom
D(E_F)   2.7 states/eV/f.u.
Formation enthalpy at 0 K   227.8 meV/atom


[7]
# Cu2NiPb

A geometry-optimized Cu2NiPb structure (PBE, Alexandria via LeMat-Bulk).

a b c (Å): 3.0584 3.2898 6.2568
angles (deg): 90.00 90.00 90.00
Sites, in units of the cell vectors:
Cu  0.0000  0.0000  0.1935
Cu  0.0000  0.0000  0.8065
Ni  0.5000  0.5000  0.0000
Pb  0.5000  0.5000  0.5000

Output
Magnetization   0.0000 μB per atom
D(E_F)   2.3 states/eV/f.u.
Formation enthalpy at 0 K   260.0 meV/atom


[8]
# CuNiPb3

A geometry-optimized CuNiPb3 structure (PBE, Alexandria via LeMat-Bulk).

a b c (Å): 5.1089 5.1089 5.1089
angles (deg): 90.00 90.00 90.00
Sites, in units of the cell vectors:
Cu  0.0000  0.0000  0.0000
Ni  0.5000  0.5000  0.5000
Pb  0.0000  0.5000  0.5000
Pb  0.5000  0.0000  0.5000
Pb  0.5000  0.5000  0.0000

Output
Energy above the lowest structure with this stoichiometry   0.000 eV/atom
Magnetization   0.0000 μB per atom
D(E_F)   2.6 states/eV/f.u.
Formation enthalpy at 0 K   416.6 meV/atom


[9]
# Cu3NiPb

A geometry-optimized Cu3NiPb structure (PBE, Alexandria via LeMat-Bulk).

a b c (Å): 4.8689 4.8689 4.8689
angles (deg): 90.00 90.00 90.00
Sites, in units of the cell vectors:
Cu  0.0000  0.0000  0.5000
Cu  0.0000  0.5000  0.0000
Cu  0.5000  0.0000  0.0000
Ni  0.5000  0.5000  0.5000
Pb  0.0000  0.0000  0.0000

Output
Energy above the lowest structure with this stoichiometry   0.784 eV/atom
Magnetization   0.1942 μB per atom
D(E_F)   3.5 states/eV/f.u.
Formation enthalpy at 0 K   1368.1 meV/atom


[10]
# CuNi3Pb

A geometry-optimized CuNi3Pb structure (PBE, Alexandria via LeMat-Bulk).

a b c (Å): 4.3682 4.3682 4.3682
angles (deg): 90.00 90.00 90.00
Sites, in units of the cell vectors:
Cu  0.0000  0.0000  0.0000
Ni  0.0000  0.0000  0.5000
Ni  0.0000  0.5000  0.0000
Ni  0.5000  0.0000  0.0000
Pb  0.5000  0.5000  0.5000

Output
Energy above the lowest structure with this stoichiometry   0.000 eV/atom
Magnetization   0.2230 μB per atom
D(E_F)   6.7 states/eV/f.u.
Formation enthalpy at 0 K   760.1 meV/atom


[11]
# CuNiPb2

A geometry-optimized CuNiPb2 structure (PBE, Alexandria via LeMat-Bulk).

a b c (Å): 3.4063 4.6697 5.0117
angles (deg): 90.00 90.00 90.00
Sites, in units of the cell vectors:
Cu  0.0000  0.0000  0.0000
Ni  0.0000  0.5000  0.5000
Pb  0.5000  0.0000  0.5000
Pb  0.5000  0.5000  0.0000

Output
Magnetization   0.0000 μB per atom
D(E_F)   2.1 states/eV/f.u.
Formation enthalpy at 0 K   320.1 meV/atom


[12]
# CuNiPb3

A geometry-optimized CuNiPb3 structure (PBE, Alexandria via LeMat-Bulk).

a b c (Å): 5.1554 5.1554 5.1554
angles (deg): 90.00 90.00 90.00
Sites, in units of the cell vectors:
Cu  0.0000  0.0000  0.0000
Ni  0.5000  0.5000  0.5000
Pb  0.0000  0.0000  0.5000
Pb  0.0000  0.5000  0.0000
Pb  0.5000  0.0000  0.0000

Output
Energy above the lowest structure with this stoichiometry   0.297 eV/atom
Magnetization   0.0000 μB per atom
D(E_F)   4.4 states/eV/f.u.
Formation enthalpy at 0 K   713.5 meV/atom


[13]
# CuNiPb2

A geometry-optimized CuNiPb2 structure (PBE, Alexandria via LeMat-Bulk).

a b c (Å): 3.4344 3.4344 24.0381
angles (deg): 90.00 90.00 120.00
Sites, in units of the cell vectors:
Cu  0.0000  0.0000  0.0000
Cu  0.3333  0.6667  0.6667
Cu  0.6667  0.3333  0.3333
Ni  0.0000  0.0000  0.5000
Ni  0.3333  0.6667  0.1667
Ni  0.6667  0.3333  0.8333
Pb  0.0000  0.0000  0.2454
Pb  0.0000  0.0000  0.7546
Pb  0.3333  0.6667  0.4212
Pb  0.3333  0.6667  0.9121
Pb  0.6667  0.3333  0.0879
Pb  0.6667  0.3333  0.5788

Output
Magnetization   0.0000 μB per atom
D(E_F)   1.1 states/eV/f.u.
Formation enthalpy at 0 K   307.4 meV/atom


[14]
# Cu2NiPb

A geometry-optimized Cu2NiPb structure (PBE, Alexandria via LeMat-Bulk).

a b c (Å): 3.1516 3.2003 6.1518
angles (deg): 90.00 90.00 90.00
Sites, in units of the cell vectors:
Cu  0.0000  0.0000  0.0000
Cu  0.5000  0.5000  0.1936
Ni  0.5000  0.5000  0.7937
Pb  0.0000  0.0000  0.5182

Output
Magnetization   0.0000 μB per atom
D(E_F)   2.0 states/eV/f.u.
Formation enthalpy at 0 K   225.7 meV/atom